# 1
P2PtAu: optimized geometry, PBE-GGA.

The structure belongs to space group I-42d (No. 122); the cell edges are 5.3695, 5.3695 and 11.3817 Å and the angles 90.00°, 90.00° and 90.00°. Symmetry generates all atoms from P at (0.2272, 0.2500, 0.1250), Pt at (0.0000, 0.0000, 0.0000) and Au at (0.0000, 0.0000, 0.5000).

Its formation enthalpy at 0 K is -0.046 eV/atom. The value obtained for the energy above the most stable polymorph in this dataset is 149.8 meV per atom.

=====

# 2
KRbY2Se: optimized geometry, PBE-GGA.

The structure belongs to space group P4/mmm (No. 123); the cell edges are 5.8965, 5.8965 and 6.0315 Å and the angles 90.00°, 90.00° and 90.00°. Symmetry generates all atoms from K at (0.0000, 0.0000, 0.0000), Rb at (0.0000, 0.0000, 0.5000), Y at (0.0000, 0.5000, 0.5000) and Se at (0.5000, 0.5000, 0.0000).

=====

# 3
Ce3SiGe: optimized geometry, PBE-GGA.

The structure belongs to space group Pmmn (No. 59, origin choice 2); the cell edges are 4.4706, 8.3045 and 6.6083 Å and the angles 90.00°, 90.00° and 90.00°. Symmetry generates all atoms from Ce at (0.2500, 0.0359, 0.2454), Ce at (0.2500, 0.2500, 0.7554), Si at (0.2500, 0.7500, 0.9424) and Ge at (0.2500, 0.7500, 0.5590).

The value obtained for the energy above the most stable polymorph in this dataset is 0.0 meV per atom.

=====

# 4
LaReBiN2: optimized geometry, PBE-GGA.

The structure belongs to space group P4/mmm (No. 123); the cell edges are 4.3897, 4.3897 and 6.6042 Å and the angles 90.00°, 90.00° and 90.00°. Symmetry generates all atoms from La at (0.0000, 0.0000, 0.0000), Re at (0.5000, 0.5000, 0.0000), Bi at (0.0000, 0.0000, 0.5000) and N at (0.0000, 0.5000, 0.5000).

=====

Electronic total energy (eV per atom)
-5.080, -2.480, -6.145, -5.351